Computed, not measured: an optimized crystal structure of MoAsSCl2 at the PBE-GGA level of DFT.

V = 113.3 Å³/f.u.
uncorrected energy = -4.418 eV per atom
ΔE_f (raw) = 0.242 eV per atom
magnetization = 0.7269 μB/atom

a = 4.895 Å, b = 4.895 Å, c = 4.730 Å
α = 90.00°, β = 90.00°, γ = 90.00°
Element x y z (fractional)
As 0.500 0.500 0.500
S 0.000 0.000 0.500
Cl 0.000 0.500 0.000
Cl 0.500 0.000 0.000
Mo 0.000 0.000 0.000

---

Computed, not measured: an optimized crystal structure of MoAsS2Cl at the PBE-GGA level of DFT.

V = 107.2 Å³/f.u.
uncorrected energy = -4.824 eV per atom
ΔE_f (raw) = 0.292 eV per atom
magnetization = 0.4849 μB/atom

a = 4.722 Å, b = 4.722 Å, c = 4.808 Å
α = 90.00°, β = 90.00°, γ = 90.00°
Element x y z (fractional)
As 0.500 0.500 0.500
Cl 0.000 0.000 0.500
Mo 0.000 0.000 0.000
S 0.000 0.500 0.000
S 0.500 0.000 0.000

---

Computed, not measured: an optimized crystal structure of MoAsSe2Cl at the PBE-GGA level of DFT.

V = 117.6 Å³/f.u.
uncorrected energy = -3.519 eV per atom
ΔE_f (raw) = 1.340 eV per atom
magnetization = 0.4729 μB/atom

a = 4.982 Å, b = 4.982 Å, c = 4.740 Å
α = 90.00°, β = 90.00°, γ = 90.00°
Element x y z (fractional)
Se 0.000 0.500 0.000
Mo 0.500 0.500 0.500
Cl 0.000 0.000 0.000
Se 0.500 0.000 0.000
As 0.000 0.000 0.500

---

Computed, not measured: an optimized crystal structure of MoAsSe2Cl at the PBE-GGA level of DFT.

V = 118.6 Å³/f.u.
uncorrected energy = -4.697 eV per atom
ΔE_f (raw) = 0.162 eV per atom
magnetization = 0.0000 μB/atom

a = 4.843 Å, b = 4.843 Å, c = 5.056 Å
α = 90.00°, β = 90.00°, γ = 90.00°
Element x y z (fractional)
Cl 0.500 0.500 0.500
Se 0.000 0.500 0.000
As 0.000 0.000 0.500
Se 0.500 0.000 0.000
Mo 0.000 0.000 0.000